20
Lattice="-6.2098 3.2736 -1.9423 -1.2252 -6.1546 -6.4559 -4.3509 -4.3560 6.5692" Properties=species:S:1:pos:R:3 comment="PBE-GGA Pr6CdPd3, optimized geometry" crystal_system=orthorhombic dos_at_fermi_per_ev_cell=24.20 final_energy_ev_per_atom=-4.95 m_tot_mub_per_fu=0.0 pbc="T T T"
Pr -5.3512 -3.9714 -6.9907
Pr -4.0248 -1.0077 2.0475
Pr -8.8042 -5.6795 -4.2027
Pr -4.6469 -6.4561 -0.7029
Pr -6.9805 -6.5790 2.1076
Pr -2.2468 -5.5819 -3.6053
Pr -5.8484 -0.1082 -4.2627
Pr -7.9655 -4.6964 -0.7837
Pr -2.8430 -3.0559 -0.7395
Pr -6.1616 -1.2962 -0.8204
Pr -5.0346 -4.0037 5.5997
Pr -7.0622 -2.9609 2.5511
Cd -5.3831 -3.9151 -3.3322
Cd -3.4287 -4.8898 2.4335
Pd -3.5355 -0.5024 -1.9890
Pd -7.1605 -7.3352 -1.9154
Pd -7.8720 -2.5892 -2.8262
Pd -10.8048 -5.3881 -0.6389
Pd -7.1798 1.4448 -0.7125
Pd -5.3442 -3.8939 0.5499